Density functional theory data (PBE-GGA) for a geometry-optimized YHfCuGe structure.

Lattice parameters (Å, degrees): 4.8155 4.8155 4.8155 60.00 60.00 60.00
Atoms (fractional coordinates):
Y 0.0000 0.0000 0.0000
Hf 0.2500 0.2500 0.2500
Cu 0.7500 0.7500 0.7500
Ge 0.5000 0.5000 0.5000

## Properties
Uncorrected energy ... -5.88 eV per atom
Magnetization ... 1.1 μB/f.u.
SG ... F-43m, No. 216

Density functional theory data (PBE-GGA) for a geometry-optimized HfZnCuGe structure.

Lattice parameters (Å, degrees): 4.5245 4.5245 4.5245 60.00 60.00 60.00
Atoms (fractional coordinates):
Hf 0.0000 0.0000 0.0000
Zn 0.2500 0.2500 0.2500
Cu 0.7500 0.7500 0.7500
Ge 0.5000 0.5000 0.5000

## Properties
Uncorrected energy ... -4.80 eV per atom
Magnetization ... 0.0 μB/f.u.
SG ... F-43m, No. 216

Density functional theory data (PBE-GGA) for a geometry-optimized HfZnCuGe structure.

Lattice parameters (Å, degrees): 4.5138 4.5138 4.5138 60.00 60.00 60.00
Atoms (fractional coordinates):
Hf 0.0000 0.0000 0.0000
Zn 0.7500 0.7500 0.7500
Cu 0.5000 0.5000 0.5000
Ge 0.2500 0.2500 0.2500

## Properties
Uncorrected energy ... -4.90 eV per atom
Magnetization ... 0.0 μB/f.u.
SG ... F-43m, No. 216

Density functional theory data (PBE-GGA) for a geometry-optimized Hf2ZrCu4Ge4 structure.

Lattice parameters (Å, degrees): 7.6744 7.6744 7.6744 149.83 129.58 59.89
Atoms (fractional coordinates):
Hf 0.1237 0.1237 0.0000
Hf 0.8763 0.8763 0.0000
Zr 0.5000 0.0000 0.5000
Cu 0.1361 0.3294 0.8067
Cu 0.4773 0.6706 0.8067
Cu 0.5227 0.3294 0.1933
Cu 0.8639 0.6706 0.1933
Ge 0.1978 0.5000 0.6978
Ge 0.2829 0.7829 0.5000
Ge 0.7171 0.2171 0.5000
Ge 0.8022 0.5000 0.3022

## Properties
Uncorrected energy ... -6.03 eV per atom
Magnetization ... 0.0 μB/f.u.
SG ... Immm, No. 71

Density functional theory data (PBE-GGA) for a geometry-optimized HfZrCuGe structure.

Lattice parameters (Å, degrees): 4.6952 4.6952 4.6952 60.00 60.00 60.00
Atoms (fractional coordinates):
Hf 0.0000 0.0000 0.0000
Zr 0.2500 0.2500 0.2500
Cu 0.7500 0.7500 0.7500
Ge 0.5000 0.5000 0.5000

## Properties
Uncorrected energy ... -6.45 eV per atom
Magnetization ... 0.0 μB/f.u.
SG ... F-43m, No. 216

Density functional theory data (PBE-GGA) for a geometry-optimized HfZrCu2Ge4 structure.

Lattice parameters (Å, degrees): 3.7998 3.7998 9.1164 90.00 90.00 90.00
Atoms (fractional coordinates):
Hf 0.0000 0.0000 0.0000
Zr 0.5000 0.5000 0.4762
Cu 0.0000 0.5000 0.7403
Cu 0.5000 0.0000 0.7403
Ge 0.0000 0.0000 0.5627
Ge 0.0000 0.5000 0.2368
Ge 0.5000 0.0000 0.2368
Ge 0.5000 0.5000 0.9173

## Properties
Uncorrected energy ... -6.00 eV per atom
Magnetization ... 0.0 μB/f.u.
SG ... P4mm, No. 99

Density functional theory data (PBE-GGA) for a geometry-optimized Cu2HgGe structure.

Lattice parameters (Å, degrees): 4.5418 4.5418 4.5418 60.00 60.00 60.00
Atoms (fractional coordinates):
Cu 0.0000 0.0000 0.0000
Cu 0.2500 0.2500 0.2500
Hg 0.7500 0.7500 0.7500
Ge 0.5000 0.5000 0.5000

## Properties
Uncorrected energy ... -2.74 eV per atom
SG ... F-43m, No. 216

Density functional theory data (PBE-GGA) for a geometry-optimized CuHg2Ge structure.

Lattice parameters (Å, degrees): 4.8487 4.8487 4.8487 60.00 60.00 60.00
Atoms (fractional coordinates):
Cu 0.0000 0.0000 0.0000
Hg 0.2500 0.2500 0.2500
Hg 0.5000 0.5000 0.5000
Ge 0.7500 0.7500 0.7500

## Properties
Uncorrected energy ... -1.85 eV per atom
SG ... F-43m, No. 216

Density functional theory data (PBE-GGA) for a geometry-optimized Li4CuHgGe2 structure.

Lattice parameters (Å, degrees): 4.3566 4.3566 6.2719 90.00 90.00 90.00
Atoms (fractional coordinates):
Li 0.0000 0.0000 0.0000
Li 0.0000 0.5000 0.7303
Li 0.5000 0.0000 0.2697
Li 0.5000 0.5000 0.5000
Cu 0.0000 0.0000 0.5000
Hg 0.5000 0.5000 0.0000
Ge 0.0000 0.5000 0.2775
Ge 0.5000 0.0000 0.7225

## Properties
Uncorrected energy ... -2.92 eV per atom
SG ... P-4m2, No. 115

Density functional theory data (PBE-GGA) for a geometry-optimized LuCuHgGe structure.

Lattice parameters (Å, degrees): 4.8147 4.8147 4.8147 60.00 60.00 60.00
Atoms (fractional coordinates):
Lu 0.0000 0.0000 0.0000
Cu 0.7500 0.7500 0.7500
Hg 0.2500 0.2500 0.2500
Ge 0.5000 0.5000 0.5000

## Properties
Uncorrected energy ... -3.40 eV per atom
Magnetization ... 0.0 μB/f.u.
SG ... F-43m, No. 216

Density functional theory data (PBE-GGA) for a geometry-optimized LuCuHgGe structure.

Lattice parameters (Å, degrees): 4.7866 4.7866 4.7866 60.00 60.00 60.00
Atoms (fractional coordinates):
Lu 0.0000 0.0000 0.0000
Cu 0.5000 0.5000 0.5000
Hg 0.7500 0.7500 0.7500
Ge 0.2500 0.2500 0.2500

## Properties
Uncorrected energy ... -3.50 eV per atom
Magnetization ... 0.0 μB/f.u.
SG ... F-43m, No. 216

Density functional theory data (PBE-GGA) for a geometry-optimized CuHgGeMo structure.

Lattice parameters (Å, degrees): 4.5348 4.5348 4.5348 60.00 60.00 60.00
Atoms (fractional coordinates):
Cu 0.0000 0.0000 0.0000
Hg 0.2500 0.2500 0.2500
Ge 0.7500 0.7500 0.7500
Mo 0.5000 0.5000 0.5000

## Properties
Uncorrected energy ... -4.34 eV per atom
Magnetization ... 0.5 μB/f.u.
SG ... F-43m, No. 216

Density functional theory data (PBE-GGA) for a geometry-optimized CuHgGeMo structure.

Lattice parameters (Å, degrees): 4.6584 4.6584 4.6584 60.00 60.00 60.00
Atoms (fractional coordinates):
Cu 0.0000 0.0000 0.0000
Hg 0.5000 0.5000 0.5000
Ge 0.7500 0.7500 0.7500
Mo 0.2500 0.2500 0.2500

## Properties
Uncorrected energy ... -4.09 eV per atom
Magnetization ... 3.0 μB/f.u.
SG ... F-43m, No. 216

Density functional theory data (PBE-GGA) for a geometry-optimized CuHgGeOs structure.

Lattice parameters (Å, degrees): 4.4864 4.4864 4.4864 60.00 60.00 60.00
Atoms (fractional coordinates):
Cu 0.0000 0.0000 0.0000
Hg 0.2500 0.2500 0.2500
Ge 0.7500 0.7500 0.7500
Os 0.5000 0.5000 0.5000

## Properties
Uncorrected energy ... -4.37 eV per atom
Magnetization ... 0.0 μB/f.u.
SG ... F-43m, No. 216

Density functional theory data (PBE-GGA) for a geometry-optimized CuHgGePd structure.

Lattice parameters (Å, degrees): 4.5582 4.5582 4.5582 60.00 60.00 60.00
Atoms (fractional coordinates):
Cu 0.0000 0.0000 0.0000
Hg 0.2500 0.2500 0.2500
Ge 0.7500 0.7500 0.7500
Pd 0.5000 0.5000 0.5000

## Properties
Uncorrected energy ... -3.42 eV per atom
SG ... F-43m, No. 216

Density functional theory data (PBE-GGA) for a geometry-optimized CuReHgGe structure.

Lattice parameters (Å, degrees): 4.4916 4.4916 4.4916 60.00 60.00 60.00
Atoms (fractional coordinates):
Cu 0.0000 0.0000 0.0000
Re 0.5000 0.5000 0.5000
Hg 0.2500 0.2500 0.2500
Ge 0.7500 0.7500 0.7500

## Properties
Uncorrected energy ... -4.58 eV per atom
Magnetization ... 0.0 μB/f.u.
SG ... F-43m, No. 216

Density functional theory data (PBE-GGA) for a geometry-optimized CuReHgGe structure.

Lattice parameters (Å, degrees): 4.6206 4.6206 4.6206 60.00 60.00 60.00
Atoms (fractional coordinates):
Cu 0.0000 0.0000 0.0000
Re 0.2500 0.2500 0.2500
Hg 0.5000 0.5000 0.5000
Ge 0.7500 0.7500 0.7500

## Properties
Uncorrected energy ... -4.19 eV per atom
Magnetization ... 2.4 μB/f.u.
SG ... F-43m, No. 216

Density functional theory data (PBE-GGA) for a geometry-optimized Cu2HgGeSeS3 structure.

Lattice parameters (Å, degrees): 5.6288 5.6288 6.6532 114.63 114.63 89.97
Atoms (fractional coordinates):
Cu 0.2377 0.7623 0.0000
Cu 0.7623 0.2377 0.0000
Hg 0.4972 0.4972 0.4855
Ge 0.9826 0.9826 0.4813
Se 0.3572 0.3572 0.7644
S 0.0804 0.6294 0.2156
S 0.6294 0.0804 0.2156
S 0.8992 0.8992 0.7574

## Properties
Uncorrected energy ... -3.80 eV per atom
SG ... Cm, No. 8

Density functional theory data (PBE-GGA) for a geometry-optimized Cu2HgGeSe2S2 structure.

Lattice parameters (Å, degrees): 6.7461 6.7461 5.7180 114.24 114.24 49.99
Atoms (fractional coordinates):
Cu 0.2501 0.2501 0.2241
Cu 0.7499 0.7499 0.7759
Hg 0.0068 0.9932 0.5000
Ge 0.4842 0.5158 0.0000
Se 0.5828 0.1384 0.6326
Se 0.8616 0.4172 0.3674
S 0.1324 0.5990 0.0927
S 0.4010 0.8676 0.9073

## Properties
Uncorrected energy ... -3.72 eV per atom
SG ... C2, No. 5

Density functional theory data (PBE-GGA) for a geometry-optimized Cu2HgGeSe2S2 structure.

Lattice parameters (Å, degrees): 6.7877 6.7831 5.7065 65.18 65.09 49.73
Atoms (fractional coordinates):
Cu 0.0000 0.0000 0.5000
Cu 0.5000 0.5000 0.0000
Hg 0.2355 0.2355 0.7645
Ge 0.7309 0.7309 0.2691
Se 0.1037 0.6460 0.3540
Se 0.6460 0.1037 0.8963
S 0.3761 0.8267 0.6239
S 0.8267 0.3761 0.1733

## Properties
Uncorrected energy ... -3.71 eV per atom
SG ... Fmm2, No. 42